# 1
First-principles (PBE) data for a geometry-optimized Dy3ZnN structure, as listed in Alexandria via LeMat-Bulk.

Geometry as CIF:
```
data_Dy3ZnN
_chemical_formula_sum 'Dy12 Zn4 N4'
_space_group_name_H-M_alt 'P n m a'
_space_group_IT_number 62
_space_group_name_Hall '-P 2ac 2n'
_cell_length_a 6.7705
_cell_length_b 9.4816
_cell_length_c 6.6534
_cell_angle_alpha 90.00
_cell_angle_beta 90.00
_cell_angle_gamma 90.00
loop_
_atom_site_label
_atom_site_type_symbol
_atom_site_fract_x
_atom_site_fract_y
_atom_site_fract_z
_atom_site_occupancy
Dy1 Dy 0.0107 0.2500 0.0822 1
Dy2 Dy 0.2294 0.0410 0.7283 1
Zn1 Zn 0.0231 0.7500 0.4867 1
N1 N 0.0000 0.0000 0.0000 1
```

Computed properties:
For the formation energy without anion corrections, the calculation gives -0.84 eV per atom. Its volume is 427.1 Å³ per cell.



# 2
First-principles (PBE) data for a geometry-optimized Ba2HF structure, as listed in Alexandria via LeMat-Bulk.

Geometry as CIF:
```
data_Ba2HF
_chemical_formula_sum 'Ba6 H3 F3'
_space_group_name_H-M_alt 'R 3 m'
_space_group_IT_number 160
_space_group_name_Hall 'R 3 -2"'
_cell_length_a 4.1142
_cell_length_b 4.1142
_cell_length_c 20.6576
_cell_angle_alpha 90.00
_cell_angle_beta 90.00
_cell_angle_gamma 120.00
loop_
_atom_site_label
_atom_site_type_symbol
_atom_site_fract_x
_atom_site_fract_y
_atom_site_fract_z
_atom_site_occupancy
Ba1 Ba 0.0000 0.0000 0.0000 1
Ba2 Ba 0.0000 0.0000 0.1749 1
H1 H 0.0000 0.0000 0.4099 1
F1 F 0.0000 0.0000 0.5875 1
```

Computed properties:
Its energy relative to the lowest polymorph listed for this composition is 0.1023 eV per atom. Its volume is 302.8 Å³ per cell.



# 3
First-principles (PBE) data for a geometry-optimized NaLiPu structure, as listed in Alexandria via LeMat-Bulk.

Geometry as CIF:
```
data_NaLiPu
_chemical_formula_sum 'Na4 Li4 Pu4'
_space_group_name_H-M_alt 'C 1 2/m 1'
_space_group_IT_number 12
_space_group_name_Hall '-C 2y'
_cell_length_a 6.1431
_cell_length_b 3.4754
_cell_length_c 14.9436
_cell_angle_alpha 90.00
_cell_angle_beta 91.92
_cell_angle_gamma 90.00
loop_
_atom_site_label
_atom_site_type_symbol
_atom_site_fract_x
_atom_site_fract_y
_atom_site_fract_z
_atom_site_occupancy
Na1 Na 0.1691 0.0000 0.1026 1
Li1 Li 0.0007 0.5000 0.2809 1
Pu1 Pu 0.1687 0.0000 0.5403 1
```

Computed properties:
As for the formation energy: 0.24 eV/atom. Its volume is 318.9 Å³ per cell.



VASP energy? In order: -110.4; -43.3; -67.3 eV per cell.
Spin magnetization? In order: 0.000; 0.350; 0.460 μB per atom.